No. 1
This record from Alexandria via LeMat-Bulk describes an optimized crystal structure of BC. The functional is GGA-PBE.

Results
- Energy above the most stable polymorph in this dataset: 22.2 kJ/mol of atoms
- DFT total energy: -90.84 eV for the cell shown
- Symmetry: Pmm2
- Formation energy from the elements: 0.381 eV per atom

Cell and atoms, written as POSCAR:
```
BC
1.0
-1.6435 1.1967 -1.5575
-3.1152 -1.5138 2.1241
0.1400 6.3389 4.7227
B C
6 6
Direct
0.5000 0.8155 0.3333
0.5000 0.4749 0.8333
0.0000 0.2122 0.5020
0.5000 0.5080 0.5320
0.5000 0.5080 0.1346
0.0000 0.2122 0.1647
0.0000 0.0056 0.3333
0.0000 0.9910 0.9874
0.0000 0.9910 0.6793
0.5000 0.7809 0.6688
0.5000 0.7809 0.9979
0.0000 0.2198 0.8333
```

=====

No. 2
This record from Alexandria via LeMat-Bulk describes an optimized crystal structure of B7C5. The functional is GGA-PBE.

Results
- Energy above the most stable polymorph in this dataset: 24.9 kJ/mol of atoms
- DFT total energy: -87.79 eV for the cell shown
- Symmetry: Cm
- Formation energy from the elements: 0.423 eV per atom

Cell and atoms, written as POSCAR:
```
B7C5
1.0
3.9338 0.0240 -2.2434
3.1614 2.3411 -2.2434
-0.0443 -0.0148 8.8853
B C
7 5
Direct
0.4829 0.4829 0.8548
0.4693 0.4693 0.3762
0.1791 0.1791 0.6887
0.1792 0.1792 0.2103
0.6675 0.6675 0.3493
0.7035 0.7035 0.8491
0.9824 0.9824 0.0005
0.8295 0.8295 0.0600
0.3465 0.3465 0.6508
0.9883 0.9883 0.5033
0.8369 0.8369 0.5495
0.3349 0.3349 0.1574
```

=====

No. 3
This record from Alexandria via LeMat-Bulk describes an optimized crystal structure of BC. The functional is GGA-PBE.

Results
- Energy above the most stable polymorph in this dataset: 19.9 kJ/mol of atoms
- DFT total energy: -75.94 eV for the cell shown
- Symmetry: I-4m2
- Formation energy from the elements: 0.357 eV per atom

Cell and atoms, written as POSCAR:
```
BC
1.0
8.0449 -7.3297 -1.1903
8.5280 -6.5100 2.1809
-9.3845 5.6385 -0.0264
B C
5 5
Direct
0.8520 0.3520 0.5000
0.2104 0.2104 0.0000
0.4480 0.9480 0.5000
0.6500 0.1500 0.5000
0.5896 0.5896 0.0000
0.7993 0.7993 0.0000
0.0389 0.5389 0.5000
0.2611 0.7611 0.5000
0.4000 0.4000 0.0000
0.0007 0.0007 0.0000
```

=====

Magnetization: 0.0, 0.0, 0.0 (μB/f.u.)